# Hf3Zr8

Hf3Zr8 after structural relaxation (PBE, Alexandria via LeMat-Bulk).

Summary:
- crystal system = monoclinic
- density (Mg/m³) = 8.13
- formation energy (meV per atom) = 133
- spin magnetization (μB per formula unit) = 0.0

```
data_Hf3Zr8
_cell_length_a 6.225
_cell_length_b 9.197
_cell_length_c 9.285
_cell_angle_alpha 90.00
_cell_angle_beta 103.57
_cell_angle_gamma 90.00
_symmetry_space_group_name_H-M 'C 1 2/m 1'
_symmetry_Int_Tables_number 12
loop_
_symmetry_equiv_pos_as_xyz
'x,y,z'
'-x,-y,-z'
'-x,y,-z'
'x,-y,z'
'x+1/2,y+1/2,z'
'-x+1/2,-y+1/2,-z'
'-x+1/2,y+1/2,-z'
'x+1/2,-y+1/2,z'
loop_
_atom_site_label
_atom_site_fract_x
_atom_site_fract_y
_atom_site_fract_z
Hf1 0.000 0.000 0.000
Hf2 0.250 0.250 0.500
Zr1 0.047 0.000 0.662
Zr2 0.066 0.500 0.678
Zr3 0.169 0.295 0.144
```